one) Density functional theory data (PBE) for a relaxed Gd2YSc crystal. Values from VASP.

Quantum ESPRESSO input file:
```
&SYSTEM
  ibrav = 0, nat = 4, ntyp = 3
/
ATOMIC_SPECIES
Y 88.91 Y.upf
Gd 157.25 Gd.upf
Sc 44.96 Sc.upf
CELL_PARAMETERS angstrom
3.433 0.000 0.000
1.716 2.973 0.000
1.716 0.991 12.086
ATOMIC_POSITIONS angstrom
Y 0.000 0.000 0.000
Gd 1.716 0.991 8.762
Gd 5.149 2.973 3.324
Sc 3.433 1.982 6.043
```


two) Density functional theory data (PBE) for a relaxed Gd2YSc crystal. Values from VASP.

Quantum ESPRESSO input file:
```
&SYSTEM
  ibrav = 0, nat = 4, ntyp = 3
/
ATOMIC_SPECIES
Y 88.91 Y.upf
Gd 157.25 Gd.upf
Sc 44.96 Sc.upf
CELL_PARAMETERS angstrom
-1.986 -2.538 1.481
0.143 -1.869 -3.011
7.964 -4.414 3.118
ATOMIC_POSITIONS angstrom
Y 3.060 -4.410 0.794
Gd 6.086 -3.374 2.383
Gd 1.877 -1.040 0.735
Sc -0.922 -2.203 -0.765
```


Most favorable structure: two). The second most favorable one is 13.0 kJ/mol of atoms above it.


one) Density functional theory data (PBE) for a relaxed GdYSc crystal. Values from VASP.

Quantum ESPRESSO input file:
```
&SYSTEM
  ibrav = 0, nat = 3, ntyp = 3
/
ATOMIC_SPECIES
Gd 157.25 Gd.upf
Sc 44.96 Sc.upf
Y 88.91 Y.upf
CELL_PARAMETERS angstrom
-1.291 -2.687 -1.867
-1.724 -1.147 2.843
-4.190 5.929 -2.325
ATOMIC_POSITIONS angstrom
Gd -3.721 2.620 -1.199
Sc -3.403 -0.583 -0.123
Y -0.081 0.057 -0.026
```


two) Density functional theory data (PBE) for a relaxed GdYSc crystal. Values from VASP.

Quantum ESPRESSO input file:
```
&SYSTEM
  ibrav = 0, nat = 3, ntyp = 3
/
ATOMIC_SPECIES
Gd 157.25 Gd.upf
Y 88.91 Y.upf
Sc 44.96 Sc.upf
CELL_PARAMETERS angstrom
-1.591 -2.979 -0.083
4.784 -2.580 0.871
-3.112 1.543 4.270
ATOMIC_POSITIONS angstrom
Gd 1.091 -3.192 1.948
Y -0.267 -0.499 -0.014
Sc -0.744 -0.324 3.123
```


Most favorable structure: one). The second most favorable one is 3.8 kJ/mol of atoms above it.


one) Density functional theory data (PBE) for a relaxed GdScZn2 crystal. Values from VASP.

Quantum ESPRESSO input file:
```
&SYSTEM
  ibrav = 0, nat = 4, ntyp = 3
/
ATOMIC_SPECIES
Zn 65.41 Zn.upf
Gd 157.25 Gd.upf
Sc 44.96 Sc.upf
CELL_PARAMETERS angstrom
3.452 0.000 0.000
0.000 3.452 0.000
0.000 0.000 7.055
ATOMIC_POSITIONS angstrom
Zn 0.000 0.000 1.545
Zn 0.000 0.000 5.510
Gd 1.726 1.726 3.527
Sc 1.726 1.726 0.000
```


two) Density functional theory data (PBE) for a relaxed GdScZn2 crystal. Values from VASP.

Quantum ESPRESSO input file:
```
&SYSTEM
  ibrav = 0, nat = 4, ntyp = 3
/
ATOMIC_SPECIES
Zn 65.41 Zn.upf
Gd 157.25 Gd.upf
Sc 44.96 Sc.upf
CELL_PARAMETERS angstrom
-0.668 -4.844 -0.610
-0.420 -2.944 3.930
-4.348 -2.045 1.094
ATOMIC_POSITIONS angstrom
Zn -1.359 -2.458 1.103
Zn -4.077 -7.375 3.310
Gd 0.000 0.000 0.000
Sc -2.718 -4.916 2.207
```


Most favorable structure: one). The second most favorable one is 1.1 kJ/mol of atoms above it.


one) Density functional theory data (PBE) for a relaxed GdSc2Zn crystal. Values from VASP.

Quantum ESPRESSO input file:
```
&SYSTEM
  ibrav = 0, nat = 4, ntyp = 3
/
ATOMIC_SPECIES
Sc 44.96 Sc.upf
Zn 65.41 Zn.upf
Gd 157.25 Gd.upf
CELL_PARAMETERS angstrom
-1.890 -2.676 0.240
0.363 -2.045 2.545
-7.711 4.008 6.442
ATOMIC_POSITIONS angstrom
Sc -3.687 -3.046 4.438
Sc -5.551 2.334 4.788
Zn -4.619 -0.356 4.613
Gd 0.000 0.000 0.000
```


two) Density functional theory data (PBE) for a relaxed GdSc2Zn crystal. Values from VASP.

Quantum ESPRESSO input file:
```
&SYSTEM
  ibrav = 0, nat = 4, ntyp = 3
/
ATOMIC_SPECIES
Zn 65.41 Zn.upf
Sc 44.96 Sc.upf
Gd 157.25 Gd.upf
CELL_PARAMETERS angstrom
-2.233 2.255 1.105
-2.045 -2.491 0.951
3.631 -0.101 7.545
ATOMIC_POSITIONS angstrom
Zn -2.139 -0.118 1.028
Sc 0.723 -0.020 1.502
Sc 2.908 -0.081 6.043
Gd -0.324 -0.169 4.800
```


Most favorable structure: two). The second most favorable one is 25.7 kJ/mol of atoms above it.


one) Density functional theory data (PBE) for a relaxed GdScZn crystal. Values from VASP.

Quantum ESPRESSO input file:
```
&SYSTEM
  ibrav = 0, nat = 3, ntyp = 3
/
ATOMIC_SPECIES
Zn 65.41 Zn.upf
Gd 157.25 Gd.upf
Sc 44.96 Sc.upf
CELL_PARAMETERS angstrom
3.453 0.000 0.000
0.000 3.453 0.000
-1.726 -1.726 5.963
ATOMIC_POSITIONS angstrom
Zn 1.726 1.726 2.144
Gd 0.000 0.000 0.148
Sc 0.000 0.000 3.671
```


two) Density functional theory data (PBE) for a relaxed GdScZn crystal. Values from VASP.

Quantum ESPRESSO input file:
```
&SYSTEM
  ibrav = 0, nat = 3, ntyp = 3
/
ATOMIC_SPECIES
Zn 65.41 Zn.upf
Gd 157.25 Gd.upf
Sc 44.96 Sc.upf
CELL_PARAMETERS angstrom
-2.199 0.038 -2.913
2.960 -3.061 -2.274
-3.616 -1.702 2.707
ATOMIC_POSITIONS angstrom
Zn -1.786 -2.148 0.568
Gd -0.700 -2.583 -2.558
Sc -0.370 0.006 -0.490
```


Most favorable structure: one). The second most favorable one is 11.9 kJ/mol of atoms above it.


one) Density functional theory data (PBE) for a relaxed GdZr2Sc crystal. Values from VASP.

Quantum ESPRESSO input file:
```
&SYSTEM
  ibrav = 0, nat = 4, ntyp = 3
/
ATOMIC_SPECIES
Gd 157.25 Gd.upf
Sc 44.96 Sc.upf
Zr 91.22 Zr.upf
CELL_PARAMETERS angstrom
3.253 0.000 0.000
0.000 3.253 0.000
0.000 0.000 9.442
ATOMIC_POSITIONS angstrom
Gd 1.627 1.627 4.721
Sc 1.627 1.627 0.000
Zr 0.000 0.000 7.196
Zr 0.000 0.000 2.246
```


two) Density functional theory data (PBE) for a relaxed GdZr2Sc crystal. Values from VASP.

Quantum ESPRESSO input file:
```
&SYSTEM
  ibrav = 0, nat = 4, ntyp = 3
/
ATOMIC_SPECIES
Sc 44.96 Sc.upf
Zr 91.22 Zr.upf
Gd 157.25 Gd.upf
CELL_PARAMETERS angstrom
3.274 0.000 0.000
1.637 2.835 0.000
1.637 0.945 10.793
ATOMIC_POSITIONS angstrom
Sc 0.000 0.000 0.000
Zr 1.637 0.945 2.617
Zr 4.911 2.835 8.175
Gd 3.274 1.890 5.396
```


Most favorable structure: one). The second most favorable one is 1.1 kJ/mol of atoms above it.


one) Density functional theory data (PBE) for a relaxed TbGdSe crystal. Values from VASP.

Quantum ESPRESSO input file:
```
&SYSTEM
  ibrav = 0, nat = 3, ntyp = 3
/
ATOMIC_SPECIES
Gd 157.25 Gd.upf
Tb 158.93 Tb.upf
Se 78.96 Se.upf
CELL_PARAMETERS angstrom
-0.686 3.164 1.607
-3.498 -0.880 0.241
3.127 -3.736 4.627
ATOMIC_POSITIONS angstrom
Gd -1.105 -1.330 6.213
Tb -1.695 0.148 3.052
Se 0.687 -1.722 3.684
```


two) Density functional theory data (PBE) for a relaxed TbGdSe crystal. Values from VASP.

Quantum ESPRESSO input file:
```
&SYSTEM
  ibrav = 0, nat = 3, ntyp = 3
/
ATOMIC_SPECIES
Se 78.96 Se.upf
Gd 157.25 Gd.upf
Tb 158.93 Tb.upf
CELL_PARAMETERS angstrom
-3.490 1.704 -0.170
0.346 -3.577 1.481
0.962 2.568 5.979
ATOMIC_POSITIONS angstrom
Se -1.889 0.802 2.379
Gd 0.050 0.133 0.309
Tb -0.341 -0.240 4.602
```


Most favorable structure: two). The second most favorable one is 15.8 kJ/mol of atoms above it.


one) Density functional theory data (PBE) for a relaxed GdThSe2 crystal. Values from VASP.

Quantum ESPRESSO input file:
```
&SYSTEM
  ibrav = 0, nat = 4, ntyp = 3
/
ATOMIC_SPECIES
Th 232.04 Th.upf
Se 78.96 Se.upf
Gd 157.25 Gd.upf
CELL_PARAMETERS angstrom
5.112 0.000 0.000
2.556 4.427 0.000
2.556 1.476 4.174
ATOMIC_POSITIONS angstrom
Th 0.000 0.000 0.000
Se 7.669 4.427 3.131
Se 2.556 1.476 1.044
Gd 5.112 2.952 2.087
```


two) Density functional theory data (PBE) for a relaxed GdThSe2 crystal. Values from VASP.

Quantum ESPRESSO input file:
```
&SYSTEM
  ibrav = 0, nat = 4, ntyp = 3
/
ATOMIC_SPECIES
Gd 157.25 Gd.upf
Se 78.96 Se.upf
Th 232.04 Th.upf
CELL_PARAMETERS angstrom
4.085 0.000 0.000
2.043 3.538 0.000
2.043 1.179 7.065
ATOMIC_POSITIONS angstrom
Gd 0.000 0.000 0.000
Se 2.043 1.179 1.684
Se 6.128 3.538 5.381
Th 4.085 2.359 3.532
```


Most favorable structure: two). The second most favorable one is 22.7 kJ/mol of atoms above it.


one) Density functional theory data (PBE) for a relaxed Gd2TlSe crystal. Values from VASP.

Quantum ESPRESSO input file:
```
&SYSTEM
  ibrav = 0, nat = 4, ntyp = 3
/
ATOMIC_SPECIES
Gd 157.25 Gd.upf
Se 78.96 Se.upf
Tl 204.38 Tl.upf
CELL_PARAMETERS angstrom
-2.252 -2.649 -0.633
1.569 -1.933 2.508
-5.146 3.046 5.566
ATOMIC_POSITIONS angstrom
Gd -1.155 0.683 1.249
Gd -3.991 2.362 4.317
Se -0.342 -2.291 0.938
Tl -2.914 -0.768 3.721
```


two) Density functional theory data (PBE) for a relaxed Gd2TlSe crystal. Values from VASP.

Quantum ESPRESSO input file:
```
&SYSTEM
  ibrav = 0, nat = 4, ntyp = 3
/
ATOMIC_SPECIES
Gd 157.25 Gd.upf
Se 78.96 Se.upf
Tl 204.38 Tl.upf
CELL_PARAMETERS angstrom
-1.267 -2.042 3.196
-0.468 -3.965 -0.218
7.027 -3.030 3.351
ATOMIC_POSITIONS angstrom
Gd 4.220 -6.812 4.825
Gd 1.071 -2.225 1.504
Se 0.000 0.000 0.000
Tl 2.646 -4.519 3.165
```


Most favorable structure: two). The second most favorable one is 10.6 kJ/mol of atoms above it.


one) Density functional theory data (PBE) for a relaxed GdTm2Se crystal. Values from VASP.

Quantum ESPRESSO input file:
```
&SYSTEM
  ibrav = 0, nat = 4, ntyp = 3
/
ATOMIC_SPECIES
Se 78.96 Se.upf
Tm 168.93 Tm.upf
Gd 157.25 Gd.upf
CELL_PARAMETERS angstrom
-0.014 -3.527 0.432
2.334 0.316 2.661
-6.442 0.708 5.564
ATOMIC_POSITIONS angstrom
Se 1.160 -1.606 1.547
Tm -5.107 0.561 4.412
Tm -1.334 0.147 1.153
Gd -2.061 -1.252 4.329
```


two) Density functional theory data (PBE) for a relaxed GdTm2Se crystal. Values from VASP.

Quantum ESPRESSO input file:
```
&SYSTEM
  ibrav = 0, nat = 4, ntyp = 3
/
ATOMIC_SPECIES
Gd 157.25 Gd.upf
Tm 168.93 Tm.upf
Se 78.96 Se.upf
CELL_PARAMETERS angstrom
3.662 0.000 0.000
1.831 3.172 0.000
1.831 1.057 10.248
ATOMIC_POSITIONS angstrom
Gd 0.000 0.000 0.000
Tm 5.493 3.172 3.312
Tm 1.831 1.057 6.936
Se 3.662 2.114 5.124
```


Most favorable structure: one). The second most favorable one is 11.4 kJ/mol of atoms above it.


one) Density functional theory data (PBE) for a relaxed SmGd2Si crystal. Values from VASP.

Quantum ESPRESSO input file:
```
&SYSTEM
  ibrav = 0, nat = 4, ntyp = 3
/
ATOMIC_SPECIES
Sm 150.36 Sm.upf
Gd 157.25 Gd.upf
Si 28.09 Si.upf
CELL_PARAMETERS angstrom
-3.716 0.984 -2.682
-2.702 0.206 3.819
0.920 4.574 0.404
ATOMIC_POSITIONS angstrom
Sm -2.749 2.882 0.770
Gd -1.351 0.103 1.909
Gd 0.460 2.287 0.202
Si -1.858 0.492 -1.341
```


two) Density functional theory data (PBE) for a relaxed SmGd2Si crystal. Values from VASP.

Quantum ESPRESSO input file:
```
&SYSTEM
  ibrav = 0, nat = 4, ntyp = 3
/
ATOMIC_SPECIES
Gd 157.25 Gd.upf
Si 28.09 Si.upf
Sm 150.36 Sm.upf
CELL_PARAMETERS angstrom
3.810 0.000 0.000
0.000 3.810 0.000
0.000 0.000 7.502
ATOMIC_POSITIONS angstrom
Gd 0.000 0.000 1.469
Gd 0.000 0.000 6.033
Si 1.905 1.905 0.000
Sm 1.905 1.905 3.751
```


Most favorable structure: one). The second most favorable one is 2.1 kJ/mol of atoms above it.


one) Density functional theory data (PBE) for a relaxed Tb2GdSi crystal. Values from VASP.

Quantum ESPRESSO input file:
```
&SYSTEM
  ibrav = 0, nat = 4, ntyp = 3
/
ATOMIC_SPECIES
Gd 157.25 Gd.upf
Si 28.09 Si.upf
Tb 158.93 Tb.upf
CELL_PARAMETERS angstrom
-0.300 3.693 -0.150
-2.200 1.780 2.397
6.727 2.695 7.042
ATOMIC_POSITIONS angstrom
Gd 2.114 4.084 4.644
Si 0.000 0.000 0.000
Tb 0.624 1.992 1.962
Tb 3.604 6.176 7.327
```


two) Density functional theory data (PBE) for a relaxed Tb2GdSi crystal. Values from VASP.

Quantum ESPRESSO input file:
```
&SYSTEM
  ibrav = 0, nat = 4, ntyp = 3
/
ATOMIC_SPECIES
Si 28.09 Si.upf
Tb 158.93 Tb.upf
Gd 157.25 Gd.upf
CELL_PARAMETERS angstrom
-0.398 3.895 -2.448
0.881 -2.376 -3.924
-4.570 -0.805 -0.539
ATOMIC_POSITIONS angstrom
Si -0.199 1.948 -1.224
Tb 0.441 -1.188 -1.962
Tb -2.285 -0.403 -0.269
Gd -2.043 0.357 -3.455
```


Most favorable structure: two). The second most favorable one is 11.4 kJ/mol of atoms above it.